The following is a DFT calculation (PBE) of an optimized crystal structure of Dy5AsP4.

Values from the calculation:
Energy relative to the elements = -1596 meV/atom
V = 23.1 Å³ per atom
VASP energy = -65.26 eV for the cell shown

a b c (Å): 4.029 5.697 10.661
angles (deg): 105.50 100.89 90.00
Fractional positions:
Dy (0.200, 0.700, 0.399)
Dy (0.000, 0.500, 0.000)
Dy (0.397, 0.897, 0.794)
Dy (0.603, 0.103, 0.206)
Dy (0.800, 0.300, 0.601)
P (0.400, 0.400, 0.799)
P (0.201, 0.201, 0.402)
P (0.600, 0.600, 0.201)
P (0.799, 0.799, 0.598)
As (0.000, 0.000, 0.000)

The following is a DFT calculation (PBE) of an optimized crystal structure of H2WCl6.

Values from the calculation:
V = 33.3 Å³ per atom
VASP energy = -72.16 eV for the cell shown

a b c (Å): 5.651 10.942 10.942
angles (deg): 101.67 74.29 74.29
Each line ends with the local moment (μB).
Fractional positions:
W (0.750, 0.181, 0.819)  1.41
W (0.250, 0.819, 0.181)  1.41
Cl (0.416, 0.365, 0.850)  0.05
Cl (0.916, 0.850, 0.365)  0.05
Cl (0.631, 0.000, 0.794)  0.05
Cl (0.084, 0.150, 0.635)  0.05
Cl (0.594, 0.288, 0.419)  0.00
Cl (0.094, 0.419, 0.288)  0.00
Cl (0.406, 0.712, 0.581)  0.00
Cl (0.131, 0.794, 0.000)  0.05
Cl (0.906, 0.581, 0.712)  0.00
Cl (0.369, 0.000, 0.206)  0.05
Cl (0.869, 0.206, 0.000)  0.05
Cl (0.584, 0.635, 0.150)  0.05
H (0.775, 0.335, 0.371)  0.00
H (0.275, 0.371, 0.335)  0.00
H (0.225, 0.665, 0.629)  0.00
H (0.725, 0.629, 0.665)  0.00

The following is a DFT calculation (PBE) of an optimized crystal structure of RePS2I.

Values from the calculation:
V = 21.0 Å³ per atom
VASP energy = -25.72 eV for the cell shown
Energy above the lowest structure with this stoichiometry = 0.000 eV/f.u.
Formation energy (no corrections) = 1.94 eV/f.u.

a b c (Å): 4.557 4.557 5.047
angles (deg): 90.00 90.00 90.00
Fractional positions:
S (0.000, 0.500, 0.000)
S (0.500, 0.000, 0.000)
Re (0.000, 0.000, 0.000)
P (0.000, 0.000, 0.500)
I (0.500, 0.500, 0.500)

The following is a DFT calculation (PBE) of an optimized crystal structure of Ca2NdEr.

Values from the calculation:
Energy relative to the elements = 158 meV/atom
V = 36.0 Å³ per atom
VASP energy = -12.70 eV for the cell shown
Energy above the lowest structure with this stoichiometry = 0.185 eV/f.u.

a b c (Å): 5.886 5.886 5.886
angles (deg): 60.00 60.00 60.00
Fractional positions:
Er (0.500, 0.500, 0.500)
Nd (0.000, 0.000, 0.000)
Ca (0.250, 0.250, 0.250)
Ca (0.750, 0.750, 0.750)

The following is a DFT calculation (PBE) of an optimized crystal structure of ZrReSi2.

Values from the calculation:
V = 15.6 Å³ per atom
VASP energy = -33.34 eV for the cell shown
Formation energy (no corrections) = -1.50 eV/f.u.

a b c (Å): 3.060 3.060 6.652
angles (deg): 90.00 90.00 90.00
Fractional positions:
Zr (0.500, 0.500, 0.250)
Re (0.500, 0.500, 0.750)
Si (0.000, 0.000, 0.955)
Si (0.000, 0.000, 0.545)

The following is a DFT calculation (PBE) of an optimized crystal structure of Sr2CrHSe.

Values from the calculation:
V = 34.4 Å³ per atom
VASP energy = -19.45 eV for the cell shown

a b c (Å): 6.070 4.669 6.070
angles (deg): 90.00 90.00 90.00
Each line ends with the local moment (μB).
Fractional positions:
Sr (0.000, 0.000, 0.500)  -0.04
Sr (0.500, 0.000, 0.000)  -0.05
H (0.500, 0.500, 0.500)  0.02
Se (0.000, 0.000, 0.000)  -0.05
Cr (0.000, 0.500, 0.000)  3.54

Record order is preserved below.
Total magnetic moment: 0.0 4.0 0.0 0.0 0.0 3.4 μB/cell